# 1
Below is KC after structural relaxation, with properties calculated at the PBE level.

a = 7.5786 Å, b = 7.5786 Å, c = 4.0200 Å
α = 90.00°, β = 90.00°, γ = 120.00°
Fractional coordinates of all 6 atoms:
K 0.0000 0.0000 0.0000
K 0.3333 0.6667 0.5000
K 0.6667 0.3333 0.5000
C 0.0000 0.3752 0.0000
C 0.3752 0.0000 0.0000
C 0.6248 0.6248 0.0000

Calculated values
* raw total energy: -2.75 eV/atom
* E above lowest polymorph: 2.1667 eV per atom


# 2
Below is K2C after structural relaxation, with properties calculated at the PBE level.

a = 4.4513 Å, b = 19.7429 Å, c = 5.8521 Å
α = 90.00°, β = 90.00°, γ = 90.00°
Fractional coordinates of all 12 atoms:
K 0.0000 0.0886 0.2500
K 0.0000 0.2855 0.2500
K 0.0000 0.7145 0.7500
K 0.0000 0.9114 0.7500
K 0.5000 0.2145 0.7500
K 0.5000 0.4114 0.7500
K 0.5000 0.5886 0.2500
K 0.5000 0.7855 0.2500
C 0.0000 0.3202 0.7500
C 0.0000 0.6798 0.2500
C 0.5000 0.1798 0.2500
C 0.5000 0.8202 0.7500

Calculated values
* raw total energy: -2.38 eV/atom
* E above lowest polymorph: 0.0569 eV per atom


# 3
Below is KC5 after structural relaxation, with properties calculated at the PBE level.

a = 16.8888 Å, b = 2.5142 Å, c = 3.8033 Å
α = 90.00°, β = 90.13°, γ = 90.00°
Fractional coordinates of all 12 atoms:
K 0.0000 0.0000 0.0000
K 0.5000 0.5000 0.0000
C 0.1136 0.5000 0.5016
C 0.1947 0.5000 0.5005
C 0.2384 0.0000 0.4998
C 0.3236 0.0000 0.4987
C 0.3664 0.5000 0.4983
C 0.6136 0.0000 0.5016
C 0.6947 0.0000 0.5005
C 0.7384 0.5000 0.4998
C 0.8236 0.5000 0.4987
C 0.8664 0.0000 0.4983

Calculated values
* raw total energy: -6.94 eV/atom
* E above lowest polymorph: 0.0000 eV per atom


# 4
Below is K2C after structural relaxation, with properties calculated at the PBE level.

a = 15.5556 Å, b = 4.0853 Å, c = 7.7453 Å
α = 90.00°, β = 112.18°, γ = 90.00°
Fractional coordinates of all 12 atoms:
K 0.0120 0.0000 0.2122
K 0.2366 0.5000 0.7864
K 0.2634 0.0000 0.2136
K 0.4880 0.5000 0.7878
K 0.5120 0.5000 0.2122
K 0.7366 0.0000 0.7864
K 0.7634 0.5000 0.2136
K 0.9880 0.0000 0.7878
C 0.1243 0.5000 0.0352
C 0.3757 0.0000 0.9648
C 0.6243 0.0000 0.0352
C 0.8757 0.5000 0.9648

Calculated values
* raw total energy: -2.35 eV/atom
* E above lowest polymorph: 0.0931 eV per atom


# 5
Below is K2C after structural relaxation, with properties calculated at the PBE level.

a = 8.5479 Å, b = 8.5479 Å, c = 14.3574 Å
α = 90.00°, β = 90.00°, γ = 120.00°
Fractional coordinates of all 12 atoms:
K 0.0000 0.0000 0.0000
K 0.0000 0.0000 0.5000
K 0.1841 0.3683 0.2500
K 0.1841 0.8159 0.2500
K 0.3683 0.1841 0.7500
K 0.6317 0.8159 0.2500
K 0.8159 0.1841 0.7500
K 0.8159 0.6317 0.7500
C 0.3333 0.6667 0.1209
C 0.3333 0.6667 0.3791
C 0.6667 0.3333 0.6209
C 0.6667 0.3333 0.8791

Calculated values
* raw total energy: -2.00 eV/atom
* E above lowest polymorph: 0.4441 eV per atom


# 6
Below is KC4 after structural relaxation, with properties calculated at the PBE level.

a = 11.1464 Å, b = 2.5621 Å, c = 4.3370 Å
α = 90.00°, β = 112.81°, γ = 90.00°
Fractional coordinates of all 10 atoms:
K 0.0000 0.0000 0.0000
K 0.5000 0.5000 0.0000
C 0.2487 0.0000 0.5809
C 0.2487 0.0000 0.9166
C 0.2513 0.5000 0.0834
C 0.2513 0.5000 0.4191
C 0.7487 0.5000 0.5809
C 0.7487 0.5000 0.9166
C 0.7513 0.0000 0.0834
C 0.7513 0.0000 0.4191

Calculated values
* raw total energy: -7.42 eV/atom
* E above lowest polymorph: 0.0000 eV per atom


# 7
Below is KC5 after structural relaxation, with properties calculated at the PBE level.

a = 4.8209 Å, b = 4.8209 Å, c = 4.8209 Å
α = 60.00°, β = 60.00°, γ = 60.00°
Fractional coordinates of all 6 atoms:
K 0.0000 0.0000 0.0000
C 0.2500 0.2500 0.2500
C 0.2583 0.5806 0.5806
C 0.5806 0.2583 0.5806
C 0.5806 0.5806 0.2583
C 0.5806 0.5806 0.5806

Calculated values
* raw total energy: -4.83 eV/atom
* E above lowest polymorph: 2.1141 eV per atom


# 8
Below is KC after structural relaxation, with properties calculated at the PBE level.

a = 4.1761 Å, b = 4.1761 Å, c = 6.6806 Å
α = 90.00°, β = 90.00°, γ = 90.00°
Fractional coordinates of all 2 atoms:
K 0.0000 0.0000 0.0000
C 0.5000 0.5000 0.0000

Calculated values
* raw total energy: -2.73 eV/atom
* E above lowest polymorph: 2.1860 eV per atom


# 9
Below is K2C after structural relaxation, with properties calculated at the PBE level.

a = 6.3555 Å, b = 15.0911 Å, c = 4.2767 Å
α = 90.00°, β = 90.00°, γ = 90.00°
Fractional coordinates of all 12 atoms:
K 0.0000 0.0000 0.0000
K 0.0000 0.2342 0.5000
K 0.0000 0.5000 0.5000
K 0.0000 0.7658 0.5000
K 0.5000 0.0000 0.5000
K 0.5000 0.2658 0.5000
K 0.5000 0.5000 0.0000
K 0.5000 0.7342 0.5000
C 0.0000 0.3638 0.0000
C 0.0000 0.6362 0.0000
C 0.5000 0.1362 0.0000
C 0.5000 0.8638 0.0000

Calculated values
* raw total energy: -2.24 eV/atom
* E above lowest polymorph: 0.2003 eV per atom


# 10
Below is K2C after structural relaxation, with properties calculated at the PBE level.

a = 5.0633 Å, b = 5.0633 Å, c = 3.4717 Å
α = 90.00°, β = 90.00°, γ = 120.00°
Fractional coordinates of all 3 atoms:
K 0.3333 0.6667 0.0000
K 0.6667 0.3333 0.0000
C 0.0000 0.0000 0.5000

Calculated values
* raw total energy: -2.05 eV/atom
* E above lowest polymorph: 0.3936 eV per atom


# 11
Below is K6C7 after structural relaxation, with properties calculated at the PBE level.

a = 10.3429 Å, b = 10.3429 Å, c = 10.3429 Å
α = 31.85°, β = 31.85°, γ = 31.85°
Fractional coordinates of all 13 atoms:
K 0.0876 0.0876 0.0876
K 0.1972 0.1972 0.1972
K 0.3086 0.3086 0.3086
K 0.6914 0.6914 0.6914
K 0.8028 0.8028 0.8028
K 0.9124 0.9124 0.9124
C 0.2414 0.4973 0.4973
C 0.4973 0.2414 0.4973
C 0.4973 0.4973 0.2414
C 0.5000 0.5000 0.5000
C 0.5027 0.5027 0.7586
C 0.5027 0.7586 0.5027
C 0.7586 0.5027 0.5027

Calculated values
* raw total energy: -4.44 eV/atom


# 12
Below is K2C after structural relaxation, with properties calculated at the PBE level.

a = 7.5054 Å, b = 7.5054 Å, c = 6.7764 Å
α = 90.00°, β = 90.00°, γ = 120.00°
Fractional coordinates of all 9 atoms:
K 0.0000 0.3332 0.2626
K 0.0000 0.6668 0.7374
K 0.3332 0.0000 0.2626
K 0.3332 0.3332 0.7374
K 0.6668 0.0000 0.7374
K 0.6668 0.6668 0.2626
C 0.0000 0.0000 0.0000
C 0.3333 0.6667 0.5000
C 0.6667 0.3333 0.5000

Calculated values
* raw total energy: -2.41 eV/atom
* E above lowest polymorph: 0.0262 eV per atom